No. 1
The following is a PBE calculation of a relaxed structure of KCaRh, from the Alexandria database.

Geometry as POSCAR:
```
KCaRh
1.0
-1.490 -2.866 3.206
-3.417 -2.450 -3.779
5.005 -6.256 -3.220
K Ca Rh
2 2 2
direct
0.577 0.498 0.972
0.078 0.040 0.816
0.574 0.650 0.458
0.074 0.200 0.300
0.576 0.917 0.163
0.075 0.748 0.213
```

Results
The value obtained for the volume is 36.18 Å³/atom. As for the formation energy from the elements: 2.8 kJ per mole of atoms. The symmetry is P1 (1). For the density of states at the Fermi level, the calculation gives 4.7 states/eV/cell.

***

No. 2
The following is a PBE calculation of a relaxed structure of Dy4YSc3S8, from the Alexandria database.

Geometry as POSCAR:
```
Dy4YSc3S8
1.0
7.663 0.000 0.000
0.000 7.665 -0.005
-3.832 -3.829 5.422
Dy Y Sc S
4 1 3 8
direct
0.500 0.000 0.000
0.500 0.000 0.500
0.000 0.000 0.000
0.000 0.000 0.500
0.000 0.500 0.000
0.500 0.500 0.000
0.500 0.500 0.500
0.000 0.500 0.500
0.250 0.739 0.989
0.250 0.739 0.501
0.255 0.266 0.511
0.739 0.739 0.989
0.261 0.261 0.011
0.745 0.734 0.489
0.750 0.261 0.499
0.750 0.261 0.011
```

Results
The value obtained for the volume is 19.90 Å³/atom. The symmetry is R-3m (166). As for the total energy: -6.734 eV per atom. For the density of states at the Fermi level, the calculation gives 10.6 states/eV/cell.

***

No. 3
The following is a PBE calculation of a relaxed structure of Pr3PdSeCl, from the Alexandria database.

Geometry as POSCAR:
```
Pr3PdSeCl
1.0
-3.107 0.079 2.764
-4.778 -4.742 -5.236
4.685 -6.520 5.452
Pr Pd Se Cl
6 2 2 2
direct
0.750 0.900 0.109
0.250 0.100 0.891
0.250 0.724 0.496
0.750 0.276 0.504
0.750 0.427 0.164
0.250 0.573 0.836
0.250 0.663 0.151
0.750 0.337 0.849
0.250 0.184 0.238
0.750 0.816 0.762
0.250 0.099 0.603
0.750 0.901 0.397
```

Results
The value obtained for the volume is 27.84 Å³/atom. The symmetry is P2_1/m (11). As for the total energy: -5.310 eV per atom. For the density of states at the Fermi level, the calculation gives 8.9 states/eV/cell.

***

No. 4
The following is a PBE calculation of a relaxed structure of BaRe2Ag, from the Alexandria database.

Geometry as POSCAR:
```
BaRe2Ag
1.0
4.329 -0.021 0.005
2.182 3.739 0.005
2.165 1.236 6.373
Re Ba Ag
2 1 1
direct
0.943 0.943 0.171
0.274 0.274 0.177
0.745 0.745 0.767
0.538 0.538 0.386
```

Results
The value obtained for the volume is 25.85 Å³/atom. As for the formation energy from the elements: 51.6 kJ per mole of atoms. The symmetry is R3m (160). For the density of states at the Fermi level, the calculation gives 5.8 states/eV/cell.